Entry 1:
BaTcO6 GGA-PBE optimized geometry; energy relative to the elements, uncorrected = -774 kJ/mol of formula units; SG = No. 225; magnetization = 3.01 μB per cell; VASP energy = -6.2571 eV/atom
1.0
0.0000 4.5865 4.5865
4.5865 0.0000 4.5865
4.5865 4.5865 0.0000
Ba Tc O
1 1 6
direct
0.0000 0.0000 0.0000 Ba
0.5000 0.5000 0.5000 Tc
0.2965 0.2965 0.7035 O
0.2965 0.7035 0.2965 O
0.2965 0.7035 0.7035 O
0.7035 0.2965 0.2965 O
0.7035 0.2965 0.7035 O
0.7035 0.7035 0.2965 O

=====

Entry 2:
BaTcO3 GGA-PBE optimized geometry; energy relative to the elements, uncorrected = -991 kJ/mol of formula units; SG = No. 194; magnetization = 2.04 μB per cell; VASP energy = -7.4870 eV/atom; N(E_F) = 4.944 states/eV/cell
1.0
5.8397 0.0000 0.0000
-2.9198 5.0573 0.0000
0.0000 0.0000 14.1052
Ba Tc O
6 6 18
direct
0.0000 0.0000 0.2500 Ba
0.0000 0.0000 0.7500 Ba
0.3333 0.6667 0.0918 Ba
0.3333 0.6667 0.4082 Ba
0.6667 0.3333 0.5918 Ba
0.6667 0.3333 0.9082 Ba
0.0000 0.0000 0.0000 Tc
0.0000 0.0000 0.5000 Tc
0.3333 0.6667 0.6610 Tc
0.3333 0.6667 0.8390 Tc
0.6667 0.3333 0.1610 Tc
0.6667 0.3333 0.3390 Tc
0.0144 0.5072 0.7500 O
0.1654 0.3307 0.5818 O
0.1654 0.3307 0.9182 O
0.1654 0.8346 0.5818 O
0.1654 0.8346 0.9182 O
0.3307 0.1654 0.0818 O
0.3307 0.1654 0.4182 O
0.4928 0.5072 0.7500 O
0.4928 0.9856 0.7500 O
0.5072 0.0144 0.2500 O
0.5072 0.4928 0.2500 O
0.6693 0.8346 0.5818 O
0.6693 0.8346 0.9182 O
0.8346 0.1654 0.0818 O
0.8346 0.1654 0.4182 O
0.8346 0.6693 0.0818 O
0.8346 0.6693 0.4182 O
0.9856 0.4928 0.2500 O

=====

Entry 3:
BaTcO2 GGA-PBE optimized geometry; energy relative to the elements, uncorrected = -514 kJ/mol of formula units; SG = No. 166; magnetization = 0.00 μB per cell; energy above the lowest structure with this stoichiometry = 0 meV per atom; VASP energy = -6.8841 eV/atom; N(E_F) = 6.041 states/eV/cell
1.0
4.2569 0.0000 0.0000
-2.1285 3.6866 0.0000
0.0000 0.0000 17.6594
Ba Tc O
3 3 6
direct
0.0000 0.0000 0.0000 Ba
0.3333 0.6667 0.6667 Ba
0.6667 0.3333 0.3333 Ba
0.0000 0.0000 0.5000 Tc
0.3333 0.6667 0.1667 Tc
0.6667 0.3333 0.8333 Tc
0.0000 0.0000 0.3981 O
0.0000 0.0000 0.6019 O
0.3333 0.6667 0.0647 O
0.3333 0.6667 0.2686 O
0.6667 0.3333 0.7314 O
0.6667 0.3333 0.9353 O

=====

Entry 4:
Ba2Tc3O10 GGA-PBE optimized geometry; energy relative to the elements, uncorrected = -2710 kJ/mol of formula units; SG = No. 12; magnetization = 0.00 μB per cell; VASP energy = -7.5074 eV/atom; N(E_F) = 9.188 states/eV/cell
1.0
9.3407 -2.9358 0.0000
9.3407 2.9358 0.0000
-3.1281 0.0000 7.4407
Ba Tc O
4 6 20
direct
0.1058 0.1058 0.2288 Ba
0.2055 0.2055 0.8000 Ba
0.7945 0.7945 0.2000 Ba
0.8942 0.8942 0.7712 Ba
0.2703 0.7297 0.5000 Tc
0.3158 0.3158 0.4810 Tc
0.4156 0.4156 0.0136 Tc
0.5844 0.5844 0.9864 Tc
0.6842 0.6842 0.5190 Tc
0.7297 0.2703 0.5000 Tc
0.0000 0.5000 0.5000 O
0.0218 0.0218 0.6611 O
0.1170 0.6043 0.0300 O
0.1693 0.6172 0.4846 O
0.2678 0.2678 0.2364 O
0.2944 0.7056 0.0000 O
0.3652 0.3652 0.7573 O
0.3828 0.8307 0.5154 O
0.3957 0.8830 0.9700 O
0.4704 0.4704 0.2945 O
0.5000 0.0000 0.5000 O
0.5296 0.5296 0.7055 O
0.6043 0.1170 0.0300 O
0.6172 0.1693 0.4846 O
0.6348 0.6348 0.2427 O
0.7056 0.2944 0.0000 O
0.7322 0.7322 0.7636 O
0.8307 0.3828 0.5154 O
0.8830 0.3957 0.9700 O
0.9782 0.9782 0.3389 O

=====

Question: Among the records above, which one has the highest VASP energy?
Answer: BaTcO6

=====

Question: What is the formula in the second record?
Answer: BaTcO3

=====

What did the fourth record say?
Ba2Tc3O10 GGA-PBE optimized geometry; energy relative to the elements, uncorrected = -2710 kJ/mol of formula units; SG = No. 12; magnetization = 0.00 μB per cell; VASP energy = -7.5074 eV/atom; N(E_F) = 9.188 states/eV/cell
1.0
9.3407 -2.9358 0.0000
9.3407 2.9358 0.0000
-3.1281 0.0000 7.4407
Ba Tc O
4 6 20
direct
0.1058 0.1058 0.2288 Ba
0.2055 0.2055 0.8000 Ba
0.7945 0.7945 0.2000 Ba
0.8942 0.8942 0.7712 Ba
0.2703 0.7297 0.5000 Tc
0.3158 0.3158 0.4810 Tc
0.4156 0.4156 0.0136 Tc
0.5844 0.5844 0.9864 Tc
0.6842 0.6842 0.5190 Tc
0.7297 0.2703 0.5000 Tc
0.0000 0.5000 0.5000 O
0.0218 0.0218 0.6611 O
0.1170 0.6043 0.0300 O
0.1693 0.6172 0.4846 O
0.2678 0.2678 0.2364 O
0.2944 0.7056 0.0000 O
0.3652 0.3652 0.7573 O
0.3828 0.8307 0.5154 O
0.3957 0.8830 0.9700 O
0.4704 0.4704 0.2945 O
0.5000 0.0000 0.5000 O
0.5296 0.5296 0.7055 O
0.6043 0.1170 0.0300 O
0.6172 0.1693 0.4846 O
0.6348 0.6348 0.2427 O
0.7056 0.2944 0.0000 O
0.7322 0.7322 0.7636 O
0.8307 0.3828 0.5154 O
0.8830 0.3957 0.9700 O
0.9782 0.9782 0.3389 O

=====

Question: Which value of magnetization does entry 4 give?
Answer: 0.00 μB per cell